VASP calculation (PBE) on a relaxed structure of PrAl3Os2.

POSCAR file:
```
PrAl3Os2
1.0
-3.088 -3.520 -2.636
0.273 -4.045 5.083
-5.272 3.494 1.510
Os Pr Al
4 2 6
Cartesian
-0.917 -2.428 4.316
-2.461 -4.187 2.998
-4.082 1.876 2.277
-5.626 0.116 0.959
-5.600 -3.002 2.354
-2.487 -1.069 1.603
-2.560 -2.667 -1.654
-5.437 0.115 3.478
-3.384 -2.678 4.802
-4.703 -1.394 -0.844
-5.526 -1.405 5.612
-2.649 -4.186 0.479
```

Results
**Volume**: 18.596 A^3/atom
**Raw total energy**: -6.835 eV per atom
**Magnetization**: 0.000 Bohr magnetons per cell
**DOS at the Fermi energy**: 5.83 states/eV/cell

VASP calculation (PBE) on a relaxed structure of Pr2Al3Os.

POSCAR file:
```
Pr2Al3Os
1.0
-4.535 2.370 2.395
0.169 -0.753 -5.597
1.117 -5.359 0.756
Os Al Pr
1 3 2
Cartesian
0.000 0.000 0.000
-1.709 -1.494 1.576
0.559 -2.679 0.378
-1.624 -1.871 -1.223
-0.060 -4.584 -2.233
-3.189 0.843 -0.212
```

Results
**Volume**: 20.553 A^3/atom
**Raw total energy**: -5.726 eV per atom
**Magnetization**: 0.000 Bohr magnetons per cell
**DOS at the Fermi energy**: 5.41 states/eV/cell

VASP calculation (PBE) on a relaxed structure of PrAl10Os2.

POSCAR file:
```
PrAl10Os2
1.0
6.892 -0.009 0.000
-0.781 6.848 0.000
0.000 0.000 9.224
Al Pr Os
20 2 4
Cartesian
3.154 1.496 2.306
2.724 0.976 6.918
4.732 5.296 0.000
3.993 2.582 8.770
4.978 3.538 2.306
4.732 5.296 4.612
0.451 5.746 5.553
0.665 2.816 2.306
3.993 2.582 5.066
2.957 5.343 6.918
5.446 4.023 6.918
2.118 4.257 4.158
5.660 1.093 0.941
1.379 1.543 4.612
1.133 3.301 6.918
5.660 1.093 3.671
3.387 5.863 2.306
0.451 5.746 8.283
2.118 4.257 0.454
1.379 1.543 0.000
0.183 5.986 2.306
5.928 0.853 6.918
3.446 -0.004 0.000
-0.391 3.424 0.000
3.446 -0.004 4.612
-0.391 3.424 4.612
```

Results
**Volume**: 16.741 A^3/atom
**Raw total energy**: -5.435 eV per atom
**Magnetization**: 0.000 Bohr magnetons per cell
**DOS at the Fermi energy**: 6.70 states/eV/cell

VASP calculation (PBE) on a relaxed structure of PrAl4OsPt2.

POSCAR file:
```
PrAl4OsPt2
1.0
-3.418 -1.196 2.235
-0.669 -4.121 0.823
3.367 -1.015 8.658
Pt Os Pr Al
2 1 1 4
Cartesian
-0.766 -4.785 8.421
0.046 -1.547 3.294
-0.360 -3.166 5.858
0.000 0.000 0.000
1.454 -1.322 5.567
0.979 -2.952 8.020
-2.174 -5.010 6.148
-1.699 -3.380 3.695
```

Results
**Volume**: 17.672 A^3/atom
**Raw total energy**: -6.180 eV per atom
**Magnetization**: 0.000 Bohr magnetons per cell
**DOS at the Fermi energy**: 2.88 states/eV/cell

VASP calculation (PBE) on a relaxed structure of Pr2PuAlOs2.

POSCAR file:
```
Pr2PuAlOs2
1.0
-2.561 5.054 2.381
-1.351 -3.143 5.218
8.403 0.976 -0.967
Pr Os Pu Al
4 4 2 2
Cartesian
2.950 0.777 4.963
1.541 2.110 1.670
-0.246 2.730 5.312
4.737 0.156 1.321
4.414 2.775 2.815
0.077 0.112 3.818
-0.525 4.206 2.397
5.016 -1.319 4.235
-0.338 -0.786 1.304
-1.013 -2.357 3.913
-1.618 1.741 2.495
-2.294 0.170 5.104
```

Results
**Volume**: 23.334 A^3/atom
**Raw total energy**: -8.487 eV per atom
**Magnetization**: 9.845 Bohr magnetons per cell
**DOS at the Fermi energy**: 15.90 states/eV/cell

VASP calculation (PBE) on a relaxed structure of Al2OsPt.

POSCAR file:
```
Al2OsPt
1.0
2.763 0.000 0.000
0.000 3.958 0.000
0.000 0.000 5.356
Pt Os Al
1 1 2
Cartesian
1.382 1.979 4.224
0.000 0.000 2.448
0.000 0.000 5.223
1.382 1.979 1.496
```

Results
**Volume**: 14.648 A^3/atom
**Raw total energy**: -6.705 eV per atom
**Magnetization**: 0.001 Bohr magnetons per cell
**DOS at the Fermi energy**: 1.38 states/eV/cell

VASP calculation (PBE) on a relaxed structure of Al2OsPt.

POSCAR file:
```
Al2OsPt
1.0
8.701 0.014 0.008
8.232 2.818 0.008
8.232 1.377 2.459
Al Os Pt
2 1 1
Cartesian
6.250 1.045 0.615
0.042 0.007 0.004
12.685 2.122 1.248
18.772 3.140 1.847
```

Results
**Volume**: 14.956 A^3/atom
**Raw total energy**: -6.408 eV per atom
**Magnetization**: 0.000 Bohr magnetons per cell
**DOS at the Fermi energy**: 1.86 states/eV/cell

VASP calculation (PBE) on a relaxed structure of Al2OsPt.

POSCAR file:
```
Al2OsPt
1.0
-0.946 1.179 2.887
2.707 -1.186 1.372
2.644 4.779 -1.086
Al Pt Os
2 1 1
Cartesian
2.611 4.720 -1.073
1.589 1.278 1.838
2.967 3.769 1.272
1.202 2.173 -0.494
```

Results
**Volume**: 14.781 A^3/atom
**Raw total energy**: -6.637 eV per atom
**Magnetization**: 0.000 Bohr magnetons per cell
**DOS at the Fermi energy**: 1.29 states/eV/cell